Entry 1:
Density functional theory data (PBE-GGA) for a geometry-optimized Sm2Ho6Sc structure.

The value obtained for the energy above the lowest structure with this stoichiometry is 0.8 kJ/mol of atoms. Its calculated density is 7.99 Mg/m³. The value obtained for the magnetic moment is 0.00 μB per atom. For the energy of formation, the calculation gives 0.10 eV/atom. As for the calculated total energy: -4.70 eV/atom.

The structure belongs to space group C2/c (No. 15); the cell edges are 16.1874, 11.4516 and 6.0317 Å and the angles 90.00°, 96.61° and 90.00°. The distinct sites, in fractional coordinates, are Sm at (0.1708, 0.1013, 0.0650), Ho at (0.0482, 0.1421, 0.5108), Ho at (0.1093, 0.3654, 0.8264), Ho at (0.2047, 0.3613, 0.3599) and Sc at (0.0000, 0.3976, 0.2500).

Entry 2:
Density functional theory data (PBE-GGA) for a geometry-optimized NaZnPd2 structure.

Its calculated density is 6.95 Mg/m³. The value obtained for the magnetic moment is 0.00 μB per atom. For the energy of formation, the calculation gives 0.05 eV/atom. As for the calculated total energy: -3.19 eV/atom.

The structure belongs to space group Immm (No. 71); the cell edges are 2.7730, 4.9151 and 10.5618 Å and the angles 90.00°, 90.00° and 90.00°. The distinct sites, in fractional coordinates, are Na at (0.0000, 0.0000, 0.0000), Zn at (0.0000, 0.0000, 0.5000) and Pd at (0.0000, 0.0000, 0.2715).

Entry 3:
Density functional theory data (PBE-GGA) for a geometry-optimized Pm8Y4Er structure.

Its calculated density is 5.71 Mg/m³. The value obtained for the magnetic moment is 0.00 μB per atom. For the energy of formation, the calculation gives 0.49 eV/atom. As for the calculated total energy: -4.77 eV/atom.

The structure belongs to space group R-3m (No. 166, hexagonal axes); the cell edges are 11.1920, 11.1920 and 13.5265 Å and the angles 90.00°, 90.00° and 120.00°. The distinct sites, in fractional coordinates, are Pm at (0.0000, 0.0000, 0.2404), Pm at (0.0101, 0.5050, 0.7448), Y at (0.0000, 0.0000, 0.0000), Y at (0.0000, 0.5000, 0.0000) and Er at (0.0000, 0.0000, 0.5000).

Entry 4:
Density functional theory data (PBE-GGA) for a geometry-optimized Mg2ReSi structure.

Its calculated density is 6.30 Mg/m³. The value obtained for the magnetic moment is 0.00 μB per atom. As for the calculated total energy: -5.29 eV/atom. Its raw formation energy is -0.02 eV/atom.

The structure belongs to space group P4mm (No. 99); the cell edges are 3.1986, 3.1986 and 6.7748 Å and the angles 90.00°, 90.00° and 90.00°. The distinct sites, in fractional coordinates, are Mg at (0.0000, 0.0000, 0.0000), Mg at (0.5000, 0.5000, 0.3249), Re at (0.0000, 0.0000, 0.5866) and Si at (0.5000, 0.5000, 0.7359).